A relaxed structure of NaAl6Au3. Source: Alexandria via LeMat-Bulk, functional PBE.

Output
Formation enthalpy at 0 K: -290.4 meV/atom

Cell lengths 4.373, 9.139, 9.806 Å; angles 87.26, 90.00, 90.00 degrees
Element x y z (fractional)
Au 0.750 0.410 0.833
Au 0.250 0.825 0.898
Au 0.750 0.175 0.102
Au 0.750 0.710 0.526
Au 0.250 0.590 0.167
Au 0.250 0.290 0.474
Al 0.750 0.709 0.258
Al 0.250 0.794 0.632
Al 0.250 0.582 0.429
Al 0.250 0.535 0.909
Al 0.750 0.704 0.798
Al 0.250 0.101 0.960
Al 0.750 0.465 0.091
Al 0.750 0.206 0.368
Al 0.250 0.291 0.742
Al 0.750 0.418 0.571
Al 0.750 0.899 0.040
Al 0.250 0.296 0.202
Na 0.750 0.051 0.684
Na 0.250 0.949 0.316

---

A relaxed structure of NaAlAu2. Source: Alexandria via LeMat-Bulk, functional PBE.

Output
Formation enthalpy at 0 K: -221.0 meV/atom

Cell lengths 3.769, 3.769, 7.470 Å; angles 75.39, 75.39, 60.00 degrees
Element x y z (fractional)
Al 0.667 0.667 0.999
Au 0.066 0.066 0.803
Au 0.268 0.268 0.196
Na 0.500 0.500 0.501